Density functional theory data (PBE) for a relaxed Sr2HfPbO6 crystal.

## Properties
E, Ry per atom: -0.5317
Size of the total moment, μB/atom: 0.000
E_form (uncorrected), eV per formula unit: -25.6

Geometry as POSCAR:
```
Sr2HfPbO6
1.0
5.862 0.000 0.000
0.000 5.946 0.000
-5.858 0.000 8.334
Sr Hf Pb O
4 2 2 12
Cartesian
-0.052 0.231 2.088 Sr
-2.981 2.742 6.255 Sr
2.985 3.205 2.079 Sr
0.056 5.715 6.246 Sr
-2.929 0.000 4.167 Hf
0.000 2.973 0.000 Hf
2.931 0.000 0.000 Pb
0.002 2.973 4.167 Pb
-4.676 1.291 7.953 O
-1.747 1.682 3.786 O
-4.191 4.181 7.980 O
-1.262 4.739 3.813 O
-2.440 0.153 6.191 O
0.489 2.820 2.025 O
-0.485 3.126 6.309 O
2.443 5.793 2.142 O
1.266 1.208 4.521 O
4.195 1.766 0.354 O
1.751 4.264 4.547 O
4.680 4.655 0.380 O
```